This record from Alexandria via LeMat-Bulk describes crystalline TeMoN2F at its relaxed geometry. The functional is GGA+U.

Summary:
The value obtained for the total DFT energy (no corrections) is -5.29 eV per atom. The calculation puts the density at 5.2 g/cm³. The total magnetic moment is 0.134 μB/atom. The energy above the most stable polymorph in this dataset is 16.5 kJ per mole of atoms. The symmetry is No. 123.

Cell lengths 3.883, 3.883, 5.729 Å; angles 90.00, 90.00, 90.00 degrees
Positions (direct):
Te: 0.000 0.000 0.000
Mo: 0.000 0.000 0.500
N: 0.000 0.500 0.500
N: 0.500 0.000 0.500
F: 0.500 0.500 0.000